No. 1
# Be2HS | Alexandria via LeMat-Bulk | PBE | optimized geometry
data_Be2HS
_chemical_formula_sum 'Be4 H2 S2'
_cell_length_a 3.5270
_cell_length_b 3.7787
_cell_length_c 6.6477
_cell_angle_alpha 94.85
_cell_angle_beta 98.19
_cell_angle_gamma 93.69
_space_group_name_H-M_alt 'P 1'
_space_group_IT_number 1
loop_
_space_group_symop_operation_xyz
'x,y,z'
loop_
_atom_site_label
_atom_site_fract_x
_atom_site_fract_y
_atom_site_fract_z
Be1 0.0000 0.0000 0.0000
Be2 0.0981 0.6846 0.5457
Be3 0.5390 0.5970 0.3507
Be4 0.6754 0.4807 0.7046
H1 0.1125 0.5999 0.3390
H2 0.8125 0.6560 0.9091
S1 0.1693 0.1784 0.7127
S2 0.5455 0.0784 0.1811
# * energy above the most stable polymorph in this dataset: 9.4 kJ/mol of atoms
# * ρ: 1.948 g/cm3


No. 2
# Be2HS | Alexandria via LeMat-Bulk | PBE | optimized geometry
data_Be2HS
_chemical_formula_sum 'Be4 H2 S2'
_cell_length_a 4.0395
_cell_length_b 5.1161
_cell_length_c 5.1368
_cell_angle_alpha 118.22
_cell_angle_beta 90.68
_cell_angle_gamma 110.12
_space_group_name_H-M_alt 'P 1'
_space_group_IT_number 1
loop_
_space_group_symop_operation_xyz
'x,y,z'
loop_
_atom_site_label
_atom_site_fract_x
_atom_site_fract_y
_atom_site_fract_z
Be1 0.0000 0.0000 0.0000
Be2 0.0626 0.2251 0.5415
Be3 0.5035 0.9640 0.3022
Be4 0.7469 0.4018 0.2150
H1 0.3773 0.2065 0.0296
H2 0.4156 0.2276 0.5160
S1 0.0647 0.5947 0.9689
S2 0.7211 0.8204 0.5628
# * energy above the most stable polymorph in this dataset: 5.5 kJ/mol of atoms
# * ρ: 1.976 g/cm3
# * density of states at the Fermi level: 0.000 states/eV per atom


No. 3
# BeHS3 | Alexandria via LeMat-Bulk | PBE | optimized geometry
data_BeHS3
_chemical_formula_sum 'Be1 H1 S3'
_cell_length_a 4.2931
_cell_length_b 4.2931
_cell_length_c 4.2931
_cell_angle_alpha 90.00
_cell_angle_beta 90.00
_cell_angle_gamma 90.00
_space_group_name_H-M_alt 'P m -3 m'
_space_group_IT_number 221
_space_group_name_Hall '-P 4 2 3'
loop_
_atom_site_label
_atom_site_fract_x
_atom_site_fract_y
_atom_site_fract_z
Be1 0.0000 0.0000 0.0000
H1 0.5000 0.5000 0.5000
S1 0.0000 0.0000 0.5000
# * energy above the most stable polymorph in this dataset: 0.0 kJ/mol of atoms
# * ρ: 2.229 g/cm3
# * density of states at the Fermi level: 1.022 states/eV per atom


No. 4
# Be2HS | Alexandria via LeMat-Bulk | PBE | optimized geometry
data_Be2HS
_chemical_formula_sum 'Be8 H4 S4'
_cell_length_a 5.3212
_cell_length_b 5.3212
_cell_length_c 5.3212
_cell_angle_alpha 90.00
_cell_angle_beta 90.00
_cell_angle_gamma 90.00
_space_group_name_H-M_alt 'F m -3 m'
_space_group_IT_number 225
_space_group_name_Hall '-F 4 2 3'
loop_
_atom_site_label
_atom_site_fract_x
_atom_site_fract_y
_atom_site_fract_z
Be1 0.2500 0.2500 0.2500
H1 0.0000 0.0000 0.0000
S1 0.0000 0.0000 0.5000
# * energy above the most stable polymorph in this dataset: 92.3 kJ/mol of atoms
# * ρ: 2.253 g/cm3
# * density of states at the Fermi level: 0.623 states/eV per atom


No. 5
# Be2HS | Alexandria via LeMat-Bulk | PBE | optimized geometry
data_Be2HS
_chemical_formula_sum 'Be4 H2 S2'
_cell_length_a 3.5249
_cell_length_b 5.5226
_cell_length_c 5.7974
_cell_angle_alpha 65.35
_cell_angle_beta 89.19
_cell_angle_gamma 72.15
_space_group_name_H-M_alt 'P 1'
_space_group_IT_number 1
loop_
_space_group_symop_operation_xyz
'x,y,z'
loop_
_atom_site_label
_atom_site_fract_x
_atom_site_fract_y
_atom_site_fract_z
Be1 0.0000 0.0000 0.0000
Be2 0.0269 0.8017 0.7356
Be3 0.4715 0.1133 0.5013
Be4 0.6043 0.6995 0.5443
H1 0.1241 0.7206 0.0013
H2 0.2269 0.6469 0.5971
S1 0.4743 0.0416 0.1720
S2 0.8954 0.2698 0.5898
# * energy above the most stable polymorph in this dataset: 3.7 kJ/mol of atoms
# * ρ: 1.753 g/cm3


No. 6
# Be2HS | Alexandria via LeMat-Bulk | PBE | optimized geometry
data_Be2HS
_chemical_formula_sum 'Be4 H2 S2'
_cell_length_a 3.4922
_cell_length_b 5.2801
_cell_length_c 5.4164
_cell_angle_alpha 93.31
_cell_angle_beta 92.53
_cell_angle_gamma 105.20
_space_group_name_H-M_alt 'P 1'
_space_group_IT_number 1
loop_
_space_group_symop_operation_xyz
'x,y,z'
loop_
_atom_site_label
_atom_site_fract_x
_atom_site_fract_y
_atom_site_fract_z
Be1 0.0000 0.0000 0.0000
Be2 0.0538 0.3900 0.0947
Be3 0.2571 0.1679 0.4093
Be4 0.6043 0.6429 0.6851
H1 0.5207 0.3878 0.5533
H2 0.8959 0.2121 0.8804
S1 0.1905 0.8665 0.6438
S2 0.6458 0.6176 0.0706
# * energy above the most stable polymorph in this dataset: 13.8 kJ/mol of atoms
# * ρ: 1.767 g/cm3


No. 7
# ScBeH2S | Alexandria via LeMat-Bulk | PBE | optimized geometry
data_ScBeH2S
_chemical_formula_sum 'Sc1 Be1 H2 S1'
_cell_length_a 3.6142
_cell_length_b 3.6142
_cell_length_c 5.2650
_cell_angle_alpha 90.00
_cell_angle_beta 90.00
_cell_angle_gamma 90.00
_space_group_name_H-M_alt 'P 4/m m m'
_space_group_IT_number 123
_space_group_name_Hall '-P 4 2'
loop_
_atom_site_label
_atom_site_fract_x
_atom_site_fract_y
_atom_site_fract_z
Sc1 0.0000 0.0000 0.0000
Be1 0.5000 0.5000 0.0000
H1 0.0000 0.5000 0.5000
S1 0.0000 0.0000 0.5000
# * electronic total energy: -3.690 eV per atom
# * ρ: 2.126 g/cm3
# * density of states at the Fermi level: 0.736 states/eV per atom


No. 8
# ScBe2HS | Alexandria via LeMat-Bulk | PBE | optimized geometry
data_ScBe2HS
_chemical_formula_sum 'Sc1 Be2 H1 S1'
_cell_length_a 4.9002
_cell_length_b 4.9002
_cell_length_c 3.5984
_cell_angle_alpha 90.00
_cell_angle_beta 90.00
_cell_angle_gamma 90.00
_space_group_name_H-M_alt 'P 4/m m m'
_space_group_IT_number 123
_space_group_name_Hall '-P 4 2'
loop_
_atom_site_label
_atom_site_fract_x
_atom_site_fract_y
_atom_site_fract_z
Sc1 0.0000 0.0000 0.0000
Be1 0.0000 0.5000 0.0000
H1 0.0000 0.0000 0.5000
S1 0.5000 0.5000 0.5000
# * electronic total energy: -3.149 eV per atom
# * ρ: 1.846 g/cm3
# * density of states at the Fermi level: 0.405 states/eV per atom


No. 9
# BeVHS2 | Alexandria via LeMat-Bulk | PBE | optimized geometry
data_BeVHS2
_chemical_formula_sum 'Be1 V1 H1 S2'
_cell_length_a 4.5610
_cell_length_b 4.5610
_cell_length_c 3.3798
_cell_angle_alpha 90.00
_cell_angle_beta 90.00
_cell_angle_gamma 90.00
_space_group_name_H-M_alt 'P 4/m m m'
_space_group_IT_number 123
_space_group_name_Hall '-P 4 2'
loop_
_atom_site_label
_atom_site_fract_x
_atom_site_fract_y
_atom_site_fract_z
Be1 0.0000 0.0000 0.0000
V1 0.5000 0.5000 0.5000
H1 0.5000 0.5000 0.0000
S1 0.0000 0.5000 0.5000
# * electronic total energy: -4.759 eV per atom
# * ρ: 2.954 g/cm3
# * density of states at the Fermi level: 0.518 states/eV per atom


No. 10
# BeZnH2S | Alexandria via LeMat-Bulk | PBE | optimized geometry
data_BeZnH2S
_chemical_formula_sum 'Be2 Zn2 H4 S2'
_cell_length_a 5.8110
_cell_length_b 3.3635
_cell_length_c 6.5121
_cell_angle_alpha 90.00
_cell_angle_beta 107.37
_cell_angle_gamma 90.00
_space_group_name_H-M_alt 'C 1 m 1'
_space_group_IT_number 8
loop_
_space_group_symop_operation_xyz
'x,y,z'
'x,-y,z'
'x+1/2,y+1/2,z'
'x+1/2,-y+1/2,z'
loop_
_atom_site_label
_atom_site_fract_x
_atom_site_fract_y
_atom_site_fract_z
Be1 0.0000 0.0000 0.0000
Zn1 0.3354 0.5000 0.4955
H1 0.1673 0.0000 0.4985
H2 0.4207 0.5000 0.7647
S1 0.2037 0.5000 0.1117
# * energy above the most stable polymorph in this dataset: 1.1 kJ/mol of atoms
# * ρ: 2.966 g/cm3


No. 11
# BeZnH2S | Alexandria via LeMat-Bulk | PBE | optimized geometry
data_BeZnH2S
_chemical_formula_sum 'Be2 Zn2 H4 S2'
_cell_length_a 6.2249
_cell_length_b 3.6038
_cell_length_c 5.9761
_cell_angle_alpha 90.00
_cell_angle_beta 110.46
_cell_angle_gamma 90.00
_space_group_name_H-M_alt 'C 1 m 1'
_space_group_IT_number 8
loop_
_space_group_symop_operation_xyz
'x,y,z'
'x,-y,z'
'x+1/2,y+1/2,z'
'x+1/2,-y+1/2,z'
loop_
_atom_site_label
_atom_site_fract_x
_atom_site_fract_y
_atom_site_fract_z
Be1 0.0000 0.0000 0.0000
Zn1 0.1365 0.0000 0.4128
H1 0.0505 0.5000 0.6382
H2 0.4983 0.0000 0.4994
S1 0.2964 0.0000 0.8900
# * energy above the most stable polymorph in this dataset: 22.1 kJ/mol of atoms
# * ρ: 2.869 g/cm3
# * density of states at the Fermi level: 0.000 states/eV per atom


No. 12
# BeZnH2S | Alexandria via LeMat-Bulk | PBE | optimized geometry
data_BeZnH2S
_chemical_formula_sum 'Be1 Zn1 H2 S1'
_cell_length_a 3.4074
_cell_length_b 4.5807
_cell_length_c 4.9500
_cell_angle_alpha 113.96
_cell_angle_beta 90.28
_cell_angle_gamma 90.08
_space_group_name_H-M_alt 'P 1'
_space_group_IT_number 1
loop_
_space_group_symop_operation_xyz
'x,y,z'
loop_
_atom_site_label
_atom_site_fract_x
_atom_site_fract_y
_atom_site_fract_z
Be1 0.0000 0.0000 0.0000
Zn1 0.9964 0.3809 0.8241
H1 0.5014 0.7903 0.3305
H2 0.9973 0.7059 0.7301
S1 0.5020 0.0530 0.2660
# * energy above the most stable polymorph in this dataset: 19.3 kJ/mol of atoms
# * ρ: 2.552 g/cm3